1.
Entry from the Alexandria database: AsW2Br after structural relaxation (PBE-GGA). Values from VASP.

Calculated values
energy relative to the elements, uncorrected	1224	meV/atom
symmetry	No. 216
offset from the most stable computed form	4.313	eV per formula unit
calculated total energy	-27.33	eV per formula unit

The structure in Quantum ESPRESSO input format:
```
&SYSTEM
  ibrav = 0, nat = 4, ntyp = 3
/
ATOMIC_SPECIES
W 183.84 W.upf
Br 79.90 Br.upf
As 74.92 As.upf
ATOMIC_POSITIONS crystal
W 0.0000 0.0000 0.0000
W 0.2500 0.2500 0.2500
Br 0.7500 0.7500 0.7500
As 0.5000 0.5000 0.5000
CELL_PARAMETERS angstrom
4.6350 0.0000 0.0000
2.3175 4.0140 0.0000
2.3175 1.3380 3.7844
```

=====

2.
Entry from the Alexandria database: AsW2Br after structural relaxation (PBE-GGA). Values from VASP.

Calculated values
energy relative to the elements, uncorrected	738	meV/atom
symmetry	No. 166
offset from the most stable computed form	2.370	eV per formula unit
calculated total energy	-29.27	eV per formula unit

The structure in Quantum ESPRESSO input format:
```
&SYSTEM
  ibrav = 0, nat = 4, ntyp = 3
/
ATOMIC_SPECIES
Br 79.90 Br.upf
W 183.84 W.upf
As 74.92 As.upf
ATOMIC_POSITIONS crystal
Br 0.7500 0.7500 0.7500
W 0.9948 0.9948 0.9948
W 0.5052 0.5052 0.5052
As 0.2500 0.2500 0.2500
CELL_PARAMETERS angstrom
-5.7983 -3.7953 4.9989
-3.4903 -3.4951 6.9726
-5.4124 -1.1710 6.5076
```

=====

3.
Entry from the Alexandria database: AsW2Br after structural relaxation (PBE-GGA). Values from VASP.

Calculated values
energy relative to the elements, uncorrected	387	meV/atom
symmetry	No. 8
offset from the most stable computed form	0.963	eV per formula unit
calculated total energy	-30.68	eV per formula unit

The structure in Quantum ESPRESSO input format:
```
&SYSTEM
  ibrav = 0, nat = 4, ntyp = 3
/
ATOMIC_SPECIES
W 183.84 W.upf
As 74.92 As.upf
Br 79.90 Br.upf
ATOMIC_POSITIONS crystal
W 0.9015 0.9015 0.1008
W 0.2205 0.2205 0.2452
As 0.5069 0.5069 0.3661
Br 0.8711 0.8711 0.7879
CELL_PARAMETERS angstrom
4.4395 -0.1834 -0.3140
3.3404 2.9299 -0.3140
-0.0880 -0.0311 7.7575
```